# CsTcO3, relaxed, DFT PBE
data_CsTcO3
_chemical_formula_sum 'Cs4 Tc4 O12'
_space_group_name_H-M_alt 'P 1'
_space_group_IT_number 1
_cell_length_a 4.866
_cell_length_b 7.012
_cell_length_c 12.286
_cell_angle_alpha 90.00
_cell_angle_beta 90.00
_cell_angle_gamma 87.58
loop_
_space_group_symop_operation_xyz
'x,y,z'
loop_
_atom_site_label
_atom_site_type_symbol
_atom_site_fract_x
_atom_site_fract_y
_atom_site_fract_z
Tc1 Tc 0.747 0.750 0.212
Tc2 Tc 0.247 0.750 0.288
Tc3 Tc 0.753 0.250 0.712
Tc4 Tc 0.253 0.250 0.788
O1 O 0.253 0.250 0.933
O2 O 0.414 0.441 0.704
O3 O 0.914 0.441 0.796
O4 O 0.753 0.250 0.567
O5 O 0.747 0.750 0.067
O6 O 0.247 0.750 0.433
O7 O 0.593 0.060 0.796
O8 O 0.086 0.559 0.204
O9 O 0.093 0.060 0.704
O10 O 0.907 0.940 0.296
O11 O 0.586 0.559 0.296
O12 O 0.407 0.940 0.204
Cs1 Cs 0.752 0.249 0.083
Cs2 Cs 0.252 0.249 0.417
Cs3 Cs 0.748 0.751 0.583
Cs4 Cs 0.248 0.751 0.917
# Space group: P2_1/c, No. 14
# E_form (uncorrected) in meV per atom: -1576
# Density of states at the Fermi level in states/eV per cell: 3.699

# Cs2Tc2O7, relaxed, DFT PBE
data_Cs2Tc2O7
_chemical_formula_sum 'Cs2 Tc2 O7'
_space_group_name_H-M_alt 'P 1'
_space_group_IT_number 1
_cell_length_a 5.759
_cell_length_b 7.301
_cell_length_c 7.301
_cell_angle_alpha 107.67
_cell_angle_beta 84.43
_cell_angle_gamma 84.43
loop_
_space_group_symop_operation_xyz
'x,y,z'
loop_
_atom_site_label
_atom_site_type_symbol
_atom_site_fract_x
_atom_site_fract_y
_atom_site_fract_z
O1 O 0.241 0.099 0.347
O2 O 0.759 0.901 0.653
O3 O 0.241 0.347 0.099
O4 O 0.189 0.663 0.663
O5 O 0.000 0.000 0.000
O6 O 0.759 0.653 0.901
O7 O 0.811 0.337 0.337
Cs1 Cs 0.500 0.694 0.306
Cs2 Cs 0.500 0.306 0.694
Tc1 Tc 0.076 0.202 0.202
Tc2 Tc 0.924 0.798 0.798
# Space group: C2/m, No. 12
# E_form (uncorrected) in meV per atom: -1573
# Density of states at the Fermi level in states/eV per cell: 0.125

# Cs2Tc2O5, relaxed, DFT PBE
data_Cs2Tc2O5
_chemical_formula_sum 'Cs2 Tc2 O5'
_space_group_name_H-M_alt 'P 1'
_space_group_IT_number 1
_cell_length_a 3.943
_cell_length_b 3.943
_cell_length_c 9.502
_cell_angle_alpha 90.00
_cell_angle_beta 90.00
_cell_angle_gamma 90.00
loop_
_space_group_symop_operation_xyz
'x,y,z'
loop_
_atom_site_label
_atom_site_type_symbol
_atom_site_fract_x
_atom_site_fract_y
_atom_site_fract_z
O1 O 0.500 0.500 0.500
O2 O 0.500 0.000 0.739
O3 O 0.000 0.500 0.739
O4 O 0.000 0.500 0.261
O5 O 0.500 0.000 0.261
Cs1 Cs 0.000 0.000 0.500
Cs2 Cs 0.000 0.000 0.000
Tc1 Tc 0.500 0.500 0.717
Tc2 Tc 0.500 0.500 0.283
# Space group: P4/mmm, No. 123
# E_form (uncorrected) in meV per atom: -1195
# Density of states at the Fermi level in states/eV per cell: 4.418